# 1
This record from the Alexandria database describes a relaxed structure of Sc2PaPt4. The functional is PBE-GGA.

Summary:
Formation energy from the elements   -1.029 eV per atom

a = 4.749 Å, b = 4.749 Å, c = 13.773 Å
α = 90.00°, β = 90.00°, γ = 119.83°
Element x y z (fractional)
Pt 0.500 0.500 0.000
Sc 0.167 0.833 0.060
Sc 0.833 0.167 0.560
Pt 0.165 0.835 0.250
Pt 0.168 0.832 0.861
Pt 0.168 0.832 0.639
Pt 0.832 0.168 0.361
Pt 0.835 0.165 0.750
Pt 0.832 0.168 0.139
Pt 0.500 0.500 0.500
Sc 0.833 0.167 0.940
Sc 0.167 0.833 0.440
Pa 0.501 0.499 0.750
Pa 0.499 0.501 0.250

---

# 2
This record from the Alexandria database describes a relaxed structure of ScPaPt2. The functional is PBE-GGA.

Summary:
Formation energy from the elements   -1.018 eV per atom
Energy above the most stable polymorph in this dataset   0.01 eV per formula unit

a = 4.516 Å, b = 5.714 Å, c = 7.060 Å
α = 115.65°, β = 90.00°, γ = 90.00°
Element x y z (fractional)
Pt 0.750 0.177 0.822
Pa 0.750 0.708 0.879
Pa 0.250 0.292 0.121
Sc 0.250 0.214 0.602
Pt 0.250 0.823 0.178
Pt 0.750 0.309 0.413
Pt 0.250 0.691 0.587
Sc 0.750 0.786 0.398